Density functional theory data (GGA-PBE) for an optimized crystal structure of Li2PmP.

Summary:
Energy relative to the elements = -0.5775 eV/atom

```
data_Li2PmP
_cell_length_a 4.098
_cell_length_b 4.098
_cell_length_c 5.019
_cell_angle_alpha 90.00
_cell_angle_beta 90.00
_cell_angle_gamma 90.00
_space_group_name_H-M_alt 'P 1'
_space_group_IT_number 1
loop_
_space_group_symop_operation_xyz
'x,y,z'
loop_
_atom_site_label
_atom_site_type_symbol
_atom_site_fract_x
_atom_site_fract_y
_atom_site_fract_z
Li1 Li 0.000 0.500 0.000
Li2 Li 0.500 0.000 0.000
Pm1 Pm 0.000 0.000 0.500
P1 P 0.500 0.500 0.500
```